Entry from Alexandria: a relaxed TaW3O crystal (PBE+U).

The value obtained for the calculated total energy is -0.526 Ry per atom.

The space group is Pm-3m (No. 221) and the conventional cell measures 4.2649, 4.2649 and 4.2649 Å, with angles of 90.00, 90.00 and 90.00 degrees. Symmetry generates all atoms from Ta at (0.0000, 0.0000, 0.0000), W at (0.0000, 0.5000, 0.5000) and O at (0.5000, 0.5000, 0.5000).